An optimized crystal structure of Zr2V2Fe, computed with PBE.

Properties
Space group: No. 139
VASP energy: -8.338 eV/atom
Magnetic moment: 0.66 Bohr magnetons per cell

```
data_Zr2V2Fe
_chemical_formula_sum 'Zr2 V2 Fe1'
_space_group_name_H-M_alt 'P 1'
_space_group_IT_number 1
_space_group_name_Hall 'P 1'
_cell_length_a 3.2579
_cell_length_b 3.2579
_cell_length_c 8.5868
_cell_angle_alpha 79.06
_cell_angle_beta 79.06
_cell_angle_gamma 90.00
loop_
_atom_site_label
_atom_site_type_symbol
_atom_site_fract_x
_atom_site_fract_y
_atom_site_fract_z
Fe1 Fe 0.0000 0.0000 0.0000
Zr1 Zr 0.4061 0.4061 0.1878
Zr2 Zr 0.5939 0.5939 0.8122
V1 V 0.7500 0.2500 0.5000
V2 V 0.2500 0.7500 0.5000
```

***

An optimized crystal structure of ZrV2Fe9, computed with PBE.

Properties
Space group: No. 166
VASP energy: -8.654 eV/atom
Magnetic moment: 11.77 Bohr magnetons per cell

```
data_ZrV2Fe9
_chemical_formula_sum 'Zr1 V2 Fe9'
_space_group_name_H-M_alt 'P 1'
_space_group_IT_number 1
_space_group_name_Hall 'P 1'
_cell_length_a 4.7401
_cell_length_b 4.7401
_cell_length_c 8.2292
_cell_angle_alpha 73.26
_cell_angle_beta 73.26
_cell_angle_gamma 60.00
loop_
_atom_site_label
_atom_site_type_symbol
_atom_site_fract_x
_atom_site_fract_y
_atom_site_fract_z
Zr1 Zr 0.0000 0.0000 0.0000
V1 V 0.8573 0.8573 0.4280
V2 V 0.1427 0.1427 0.5720
Fe1 Fe 0.6664 0.6664 0.0009
Fe2 Fe 0.3336 0.3336 0.9991
Fe3 Fe 0.5000 0.5000 0.5000
Fe4 Fe 0.4098 0.4098 0.2622
Fe5 Fe 0.9182 0.4098 0.2622
Fe6 Fe 0.4098 0.9182 0.2622
Fe7 Fe 0.5902 0.5902 0.7378
Fe8 Fe 0.5902 0.0818 0.7378
Fe9 Fe 0.0818 0.5902 0.7378
```

***

An optimized crystal structure of Zr3VFe, computed with PBE.

Properties
Space group: No. 221
VASP energy: -8.136 eV/atom
Magnetic moment: 2.85 Bohr magnetons per cell

```
data_Zr3VFe
_chemical_formula_sum 'Zr3 V1 Fe1'
_space_group_name_H-M_alt 'P 1'
_space_group_IT_number 1
_space_group_name_Hall 'P 1'
_cell_length_a 4.8086
_cell_length_b 4.8086
_cell_length_c 4.8086
_cell_angle_alpha 90.00
_cell_angle_beta 90.00
_cell_angle_gamma 90.00
loop_
_atom_site_label
_atom_site_type_symbol
_atom_site_fract_x
_atom_site_fract_y
_atom_site_fract_z
Fe1 Fe 0.0000 0.0000 0.0000
Zr1 Zr 0.0000 0.5000 0.0000
Zr2 Zr 0.0000 0.0000 0.5000
Zr3 Zr 0.5000 0.0000 0.0000
V1 V 0.5000 0.5000 0.5000
```

***

An optimized crystal structure of Zr2V2Fe, computed with PBE.

Properties
Space group: No. 127
VASP energy: -8.643 eV/atom
Magnetic moment: 0.00 Bohr magnetons per cell

```
data_Zr2V2Fe
_chemical_formula_sum 'Zr4 V4 Fe2'
_space_group_name_H-M_alt 'P 1'
_space_group_IT_number 1
_space_group_name_Hall 'P 1'
_cell_length_a 6.1277
_cell_length_b 6.1277
_cell_length_c 4.5205
_cell_angle_alpha 90.00
_cell_angle_beta 90.00
_cell_angle_gamma 90.00
loop_
_atom_site_label
_atom_site_type_symbol
_atom_site_fract_x
_atom_site_fract_y
_atom_site_fract_z
Fe1 Fe 0.0000 0.0000 0.0000
Fe2 Fe 0.5000 0.5000 0.0000
Zr1 Zr 0.1685 0.6685 0.5000
Zr2 Zr 0.6685 0.8315 0.5000
Zr3 Zr 0.8315 0.3315 0.5000
Zr4 Zr 0.3315 0.1685 0.5000
V1 V 0.3514 0.8514 0.0000
V2 V 0.8514 0.6486 0.0000
V3 V 0.6486 0.1486 0.0000
V4 V 0.1486 0.3514 0.0000
```

***

An optimized crystal structure of Zr2V3Fe, computed with PBE.

Properties
Space group: No. 166
VASP energy: -8.955 eV/atom
Magnetic moment: 0.00 Bohr magnetons per cell

```
data_Zr2V3Fe
_chemical_formula_sum 'Zr2 V3 Fe1'
_space_group_name_H-M_alt 'P 1'
_space_group_IT_number 1
_space_group_name_Hall 'P 1'
_cell_length_a 5.0476
_cell_length_b 5.0476
_cell_length_c 5.0476
_cell_angle_alpha 62.24
_cell_angle_beta 62.24
_cell_angle_gamma 62.24
loop_
_atom_site_label
_atom_site_type_symbol
_atom_site_fract_x
_atom_site_fract_y
_atom_site_fract_z
Zr1 Zr 0.6260 0.6260 0.6260
Zr2 Zr 0.3740 0.3740 0.3740
V1 V 0.0000 0.5000 0.0000
V2 V 0.5000 0.0000 0.0000
V3 V 0.0000 0.0000 0.5000
Fe1 Fe 0.0000 0.0000 0.0000
```

***

An optimized crystal structure of ZrV2Fe, computed with PBE.

Properties
Space group: No. 225
VASP energy: -8.656 eV/atom
Magnetic moment: 0.00 Bohr magnetons per cell

```
data_ZrV2Fe
_chemical_formula_sum 'Zr1 V2 Fe1'
_space_group_name_H-M_alt 'P 1'
_space_group_IT_number 1
_space_group_name_Hall 'P 1'
_cell_length_a 4.3327
_cell_length_b 4.3327
_cell_length_c 4.3327
_cell_angle_alpha 60.00
_cell_angle_beta 60.00
_cell_angle_gamma 60.00
loop_
_atom_site_label
_atom_site_type_symbol
_atom_site_fract_x
_atom_site_fract_y
_atom_site_fract_z
Fe1 Fe 0.0000 0.0000 0.0000
Zr1 Zr 0.5000 0.5000 0.5000
V1 V 0.2500 0.2500 0.2500
V2 V 0.7500 0.7500 0.7500
```

***

An optimized crystal structure of ZrVFe2, computed with PBE.

Properties
Space group: No. 122
VASP energy: -8.031 eV/atom
Magnetic moment: 8.46 Bohr magnetons per cell

```
data_ZrVFe2
_chemical_formula_sum 'Zr2 V2 Fe4'
_space_group_name_H-M_alt 'P 1'
_space_group_IT_number 1
_space_group_name_Hall 'P 1'
_cell_length_a 3.7155
_cell_length_b 3.7155
_cell_length_c 9.5191
_cell_angle_alpha 78.75
_cell_angle_beta 78.75
_cell_angle_gamma 90.00
loop_
_atom_site_label
_atom_site_type_symbol
_atom_site_fract_x
_atom_site_fract_y
_atom_site_fract_z
Fe1 Fe 0.5936 0.1250 0.2500
Fe2 Fe 0.1564 0.6250 0.2500
Fe3 Fe 0.3750 0.4064 0.7500
Fe4 Fe 0.8750 0.8436 0.7500
Zr1 Zr 0.0000 0.0000 0.0000
Zr2 Zr 0.7500 0.2500 0.5000
V1 V 0.5000 0.5000 0.0000
V2 V 0.2500 0.7500 0.5000
```

***

An optimized crystal structure of Fe5W, computed with PBE.

Properties
Space group: No. 123
VASP energy: -9.175 eV/atom
Magnetic moment: 10.76 Bohr magnetons per cell

```
data_Fe5W
_chemical_formula_sum 'Fe5 W1'
_space_group_name_H-M_alt 'P 1'
_space_group_IT_number 1
_space_group_name_Hall 'P 1'
_cell_length_a 2.9150
_cell_length_b 2.9150
_cell_length_c 8.6595
_cell_angle_alpha 90.00
_cell_angle_beta 90.00
_cell_angle_gamma 90.00
loop_
_atom_site_label
_atom_site_type_symbol
_atom_site_fract_x
_atom_site_fract_y
_atom_site_fract_z
Fe1 Fe 0.0000 0.0000 0.8212
Fe2 Fe 0.0000 0.0000 0.1788
Fe3 Fe 0.5000 0.5000 0.6615
Fe4 Fe 0.5000 0.5000 0.3385
Fe5 Fe 0.0000 0.0000 0.5000
W1 W 0.5000 0.5000 0.0000
```

***

An optimized crystal structure of FeW4, computed with PBE.

Properties
Space group: No. 229
VASP energy: -10.808 eV/atom
Magnetic moment: 0.57 Bohr magnetons per cell

```
data_FeW4
_chemical_formula_sum 'Fe1 W4'
_space_group_name_H-M_alt 'P 1'
_space_group_IT_number 1
_space_group_name_Hall 'P 1'
_cell_length_a 4.8548
_cell_length_b 4.8548
_cell_length_c 4.8548
_cell_angle_alpha 109.47
_cell_angle_beta 109.47
_cell_angle_gamma 109.47
loop_
_atom_site_label
_atom_site_type_symbol
_atom_site_fract_x
_atom_site_fract_y
_atom_site_fract_z
Fe1 Fe 0.0000 0.0000 0.0000
W1 W 0.5000 0.0000 0.0000
W2 W 0.5000 0.5000 0.5000
W3 W 0.0000 0.5000 0.0000
W4 W 0.0000 0.0000 0.5000
```

***

An optimized crystal structure of FeW2, computed with PBE.

Properties
Space group: No. 227
VASP energy: -10.713 eV/atom
Magnetic moment: 5.01 Bohr magnetons per cell

```
data_FeW2
_chemical_formula_sum 'Fe2 W4'
_space_group_name_H-M_alt 'P 1'
_space_group_IT_number 1
_space_group_name_Hall 'P 1'
_cell_length_a 5.2009
_cell_length_b 5.2009
_cell_length_c 5.2009
_cell_angle_alpha 60.00
_cell_angle_beta 60.00
_cell_angle_gamma 60.00
loop_
_atom_site_label
_atom_site_type_symbol
_atom_site_fract_x
_atom_site_fract_y
_atom_site_fract_z
Fe1 Fe 0.7500 0.7500 0.7500
Fe2 Fe 0.5000 0.5000 0.5000
W1 W 0.1250 0.6250 0.1250
W2 W 0.1250 0.1250 0.6250
W3 W 0.6250 0.1250 0.1250
W4 W 0.1250 0.1250 0.1250
```

***

An optimized crystal structure of FeW2, computed with PBE.

Properties
Space group: No. 194
VASP energy: -10.689 eV/atom
Magnetic moment: 10.42 Bohr magnetons per cell

```
data_FeW2
_chemical_formula_sum 'Fe4 W8'
_space_group_name_H-M_alt 'P 1'
_space_group_IT_number 1
_space_group_name_Hall 'P 1'
_cell_length_a 5.2453
_cell_length_b 5.2453
_cell_length_c 8.3938
_cell_angle_alpha 90.00
_cell_angle_beta 90.00
_cell_angle_gamma 120.00
loop_
_atom_site_label
_atom_site_type_symbol
_atom_site_fract_x
_atom_site_fract_y
_atom_site_fract_z
Fe1 Fe 0.3333 0.6667 0.0567
Fe2 Fe 0.3333 0.6667 0.4433
Fe3 Fe 0.6667 0.3333 0.5567
Fe4 Fe 0.6667 0.3333 0.9433
W1 W 0.0000 0.0000 0.0000
W2 W 0.0000 0.0000 0.5000
W3 W 0.1707 0.3415 0.7500
W4 W 0.1707 0.8293 0.7500
W5 W 0.3415 0.1707 0.2500
W6 W 0.6585 0.8293 0.7500
W7 W 0.8293 0.1707 0.2500
W8 W 0.8293 0.6585 0.2500
```

***

An optimized crystal structure of FeW2, computed with PBE.

Properties
Space group: No. 189
VASP energy: -11.171 eV/atom
Magnetic moment: 0.18 Bohr magnetons per cell

```
data_FeW2
_chemical_formula_sum 'Fe3 W6'
_space_group_name_H-M_alt 'P 1'
_space_group_IT_number 1
_space_group_name_Hall 'P 1'
_cell_length_a 7.0283
_cell_length_b 7.0283
_cell_length_c 3.0365
_cell_angle_alpha 90.00
_cell_angle_beta 90.00
_cell_angle_gamma 120.00
loop_
_atom_site_label
_atom_site_type_symbol
_atom_site_fract_x
_atom_site_fract_y
_atom_site_fract_z
Fe1 Fe 0.0000 0.0000 0.5000
Fe2 Fe 0.3333 0.6667 0.0000
Fe3 Fe 0.6667 0.3333 0.0000
W1 W 0.0000 0.2659 0.0000
W2 W 0.0000 0.6032 0.5000
W3 W 0.2659 0.0000 0.0000
W4 W 0.7341 0.7341 0.0000
W5 W 0.6032 0.0000 0.5000
W6 W 0.3968 0.3968 0.5000
```